# KGdTe2 (PBEsol, optimized geometry)
data_KGdTe2
_cell_length_a 4.4563
_cell_length_b 4.4563
_cell_length_c 24.2865
_cell_angle_alpha 90.00
_cell_angle_beta 90.00
_cell_angle_gamma 120.00
_space_group_name_H-M_alt 'R -3 m'
_space_group_IT_number 166
_space_group_name_Hall '-R 3 2"'
loop_
_atom_site_label
_atom_site_type_symbol
_atom_site_fract_x
_atom_site_fract_y
_atom_site_fract_z
K1 K 0.0000 0.0000 0.0000
Gd1 Gd 0.0000 0.0000 0.5000
Te1 Te 0.0000 0.0000 0.2372
# raw total energy	-84.6	eV/cell
# crystal system	trigonal
# calculated density	5.4	g/cm3
# formation energy without anion corrections	-1.391	eV/atom